4
Lattice="3.185 0.000 0.000 0.000 3.185 0.000 0.000 0.000 6.219" Properties=species:S:1:pos:R:3 comment="Ti2MoPt, relaxed, DFT PBE" n_ef_per_ev_cell=2.51 total_energy_ry_per_atom=-0.646 crystal_system=tetragonal vol_a3_per_cell=63 sg=P4/mmm pbc="T T T"
Ti 0.000 0.000 1.495
Ti 0.000 0.000 4.724
Mo 1.593 1.593 0.000
Pt 1.593 1.593 3.110